Density functional theory data (GGA-PBE) for Cs2SmCd3F12 after structural relaxation.

POSCAR file:
```
Cs2SmCd3F12
1.0
4.040 2.332 6.848
-4.040 2.332 6.848
0.000 -4.665 6.848
Cs Sm Cd F
2 1 3 12
Direct
0.112 0.112 0.112
0.888 0.888 0.888
0.500 0.500 0.500
0.000 0.500 0.500
0.500 0.000 0.500
0.500 0.500 0.000
0.169 0.577 0.577
0.179 0.179 0.586
0.179 0.586 0.179
0.414 0.821 0.821
0.423 0.423 0.831
0.423 0.831 0.423
0.577 0.169 0.577
0.577 0.577 0.169
0.586 0.179 0.179
0.821 0.414 0.821
0.821 0.821 0.414
0.831 0.423 0.423
```

Values from the calculation:
Space group: R-3m, No. 166
Total DFT energy (no corrections), eV per atom: -4.377
Energy relative to the elements, uncorrected, eV per atom: -2.620